[1]
Entry from the Alexandria database: an optimized crystal structure of LaHfBe2Pt (PBE).

a = 4.4616 Å, b = 4.4616 Å, c = 5.4176 Å
α = 90.00°, β = 90.00°, γ = 90.00°
Last column: nearest neighbours and their distance in Å.
Fractional coordinates of all 5 atoms:
La (0.0000, 0.0000, 0.0000)  2 Pt 2.71
Hf (0.5000, 0.5000, 0.0000)  4 La 3.15, 8 Be 3.51
Be (0.0000, 0.5000, 0.5000)  2 Pt 2.23
Be (0.5000, 0.0000, 0.5000)  2 Pt 2.23
Pt (0.0000, 0.0000, 0.5000)  4 Be 2.23

The value obtained for the density of states at the Fermi level is 4.0 states/eV/cell. The formation energy is 351 meV/atom. The calculation puts the size of the total moment at 0.00 Bohr magnetons per cell.

[2]
Entry from the Alexandria database: an optimized crystal structure of Pm6Sb5S (PBE).

a = 7.6590 Å, b = 7.6590 Å, c = 7.6635 Å
α = 99.62°, β = 99.62°, γ = 119.88°
Last column: nearest neighbours and their distance in Å.
Fractional coordinates of all 12 atoms:
Pm (0.0804, 0.4029, 0.7423)  1 S 3.03, 5 Sb 3.13-3.18
Pm (0.2403, 0.2403, 0.2515)  1 S 3.06, 5 Sb 3.15-3.20
Pm (0.4029, 0.0804, 0.7423)  1 S 3.03, 5 Sb 3.13-3.18
Pm (0.5971, 0.9196, 0.2577)  1 S 3.03, 5 Sb 3.13-3.18
Pm (0.7597, 0.7597, 0.7485)  1 S 3.06, 5 Sb 3.15-3.20
Pm (0.9196, 0.5971, 0.2577)  1 S 3.03, 5 Sb 3.13-3.18
Sb (0.1714, 0.8286, 0.0000)  6 Pm 3.13-3.18
Sb (0.3342, 0.6658, 0.5000)  6 Pm 3.14-3.15
Sb (0.5000, 0.5000, 0.0000)  6 Pm 3.13-3.20
Sb (0.6658, 0.3342, 0.5000)  6 Pm 3.14-3.15
Sb (0.8286, 0.1714, 0.0000)  6 Pm 3.13-3.18
S (0.0000, 0.0000, 0.5000)  6 Pm 3.03-3.06

The value obtained for the density of states at the Fermi level is 2.9 states/eV/cell. The value obtained for the formation energy from raw total energies is -1.31 eV/atom. The calculation puts the size of the total moment at 0.00 Bohr magnetons per cell.